# BaSrHPb2 | the Alexandria database | PBE-GGA | optimized geometry
data_BaSrHPb2
_chemical_formula_sum 'Ba1 Sr1 H1 Pb2'
_cell_length_a 5.442
_cell_length_b 5.442
_cell_length_c 5.012
_cell_angle_alpha 90.00
_cell_angle_beta 90.00
_cell_angle_gamma 90.00
_symmetry_space_group_name_H-M 'P 4/m m m'
_symmetry_Int_Tables_number 123
_symmetry_space_group_name_Hall '-P 4 2'
loop_
_atom_site_label
_atom_site_type_symbol
_atom_site_fract_x
_atom_site_fract_y
_atom_site_fract_z
Ba1 Ba 0.000 0.000 0.000
Sr1 Sr 0.500 0.500 0.000
H1 H 0.500 0.500 0.500
Pb1 Pb 0.000 0.500 0.500
# * DFT total energy: -0.23180 Ry per atom
# * V: 148.5 Å³/f.u.

# K2Rb5Au4 | the Alexandria database | PBE-GGA | optimized geometry
data_K2Rb5Au4
_chemical_formula_sum 'K4 Rb10 Au8'
_cell_length_a 25.568
_cell_length_b 4.881
_cell_length_c 8.891
_cell_angle_alpha 90.00
_cell_angle_beta 108.51
_cell_angle_gamma 90.00
_symmetry_space_group_name_H-M 'C 1 2/m 1'
_symmetry_Int_Tables_number 12
loop_
_symmetry_equiv_pos_as_xyz
'x,y,z'
'-x,-y,-z'
'-x,y,-z'
'x,-y,z'
'x+1/2,y+1/2,z'
'-x+1/2,-y+1/2,-z'
'-x+1/2,y+1/2,-z'
'x+1/2,-y+1/2,z'
loop_
_atom_site_label
_atom_site_type_symbol
_atom_site_fract_x
_atom_site_fract_y
_atom_site_fract_z
K1 K 0.071 0.000 0.098
Rb1 Rb 0.000 0.000 0.500
Rb2 Rb 0.167 0.500 0.908
Rb3 Rb 0.174 0.500 0.442
Au1 Au 0.012 0.500 0.838
Au2 Au 0.210 0.000 0.207
# * calculated formation energy: -0.189 eV/atom
# * V: 526.1 Å³/f.u.
# * offset from the most stable computed form: 0.013 eV/atom

# HfTc2Ir | the Alexandria database | PBE-GGA | optimized geometry
data_HfTc2Ir
_chemical_formula_sum 'Hf4 Tc8 Ir4'
_cell_length_a 7.371
_cell_length_b 7.371
_cell_length_c 5.176
_cell_angle_alpha 90.00
_cell_angle_beta 90.00
_cell_angle_gamma 90.00
_symmetry_space_group_name_H-M 'I -4 2 d'
_symmetry_Int_Tables_number 122
_symmetry_space_group_name_Hall 'I -4 2bw'
loop_
_atom_site_label
_atom_site_type_symbol
_atom_site_fract_x
_atom_site_fract_y
_atom_site_fract_z
Hf1 Hf 0.000 0.000 0.000
Tc1 Tc 0.224 0.250 0.625
Ir1 Ir 0.000 0.000 0.500
# * calculated formation energy: 0.326 eV/atom
# * V: 70.3 Å³/f.u.
# * offset from the most stable computed form: 0.355 eV/atom

# Nb2CoBr | the Alexandria database | PBE-GGA | optimized geometry
data_Nb2CoBr
_chemical_formula_sum 'Nb8 Co4 Br4'
_cell_length_a 6.353
_cell_length_b 6.353
_cell_length_c 6.353
_cell_angle_alpha 90.00
_cell_angle_beta 90.00
_cell_angle_gamma 90.00
_symmetry_space_group_name_H-M 'F m -3 m'
_symmetry_Int_Tables_number 225
_symmetry_space_group_name_Hall '-F 4 2 3'
loop_
_atom_site_label
_atom_site_type_symbol
_atom_site_fract_x
_atom_site_fract_y
_atom_site_fract_z
Nb1 Nb 0.250 0.250 0.250
Co1 Co 0.000 0.000 0.000
Br1 Br 0.000 0.000 0.500
# * formation energy (no corrections): 0.48 eV/atom
# * V: 64.1 Å³/f.u.
# * offset from the most stable computed form: 0.000 eV/atom

# CuOsW2 | the Alexandria database | PBE-GGA | optimized geometry
data_CuOsW2
_chemical_formula_sum 'Cu1 Os1 W2'
_cell_length_a 2.789
_cell_length_b 2.789
_cell_length_c 7.611
_cell_angle_alpha 90.00
_cell_angle_beta 90.00
_cell_angle_gamma 90.00
_symmetry_space_group_name_H-M 'P 4/m m m'
_symmetry_Int_Tables_number 123
_symmetry_space_group_name_Hall '-P 4 2'
loop_
_atom_site_label
_atom_site_type_symbol
_atom_site_fract_x
_atom_site_fract_y
_atom_site_fract_z
Cu1 Cu 0.000 0.000 0.000
Os1 Os 0.000 0.000 0.500
W1 W 0.500 0.500 0.247
# * calculated formation energy: 0.247 eV/atom
# * V: 59.2 Å³/f.u.
# * offset from the most stable computed form: 0.058 eV/atom

# HfMg2Hg | the Alexandria database | PBE-GGA | optimized geometry
data_HfMg2Hg
_chemical_formula_sum 'Hf4 Mg8 Hg4'
_cell_length_a 6.947
_cell_length_b 6.947
_cell_length_c 6.947
_cell_angle_alpha 90.00
_cell_angle_beta 90.00
_cell_angle_gamma 90.00
_symmetry_space_group_name_H-M 'F m -3 m'
_symmetry_Int_Tables_number 225
_symmetry_space_group_name_Hall '-F 4 2 3'
loop_
_atom_site_label
_atom_site_type_symbol
_atom_site_fract_x
_atom_site_fract_y
_atom_site_fract_z
Hf1 Hf 0.000 0.000 0.000
Mg1 Mg 0.250 0.250 0.250
Hg1 Hg 0.000 0.000 0.500
# * calculated formation energy: 0.196 eV/atom
# * V: 83.8 Å³/f.u.
# * offset from the most stable computed form: 0.233 eV/atom

# NdAl2IrO8 | the Alexandria database | PBE-GGA | optimized geometry
data_NdAl2IrO8
_chemical_formula_sum 'Nd1 Al2 Ir1 O8'
_cell_length_a 4.628
_cell_length_b 6.383
_cell_length_c 4.651
_cell_angle_alpha 90.00
_cell_angle_beta 90.93
_cell_angle_gamma 90.00
_symmetry_space_group_name_H-M 'P 1 2/m 1'
_symmetry_Int_Tables_number 10
loop_
_symmetry_equiv_pos_as_xyz
'x,y,z'
'-x,-y,-z'
'-x,y,-z'
'x,-y,z'
loop_
_atom_site_label
_atom_site_type_symbol
_atom_site_fract_x
_atom_site_fract_y
_atom_site_fract_z
Nd1 Nd 0.000 0.000 0.000
Al1 Al 0.500 0.258 0.500
Ir1 Ir 0.000 0.500 0.000
O1 O 0.220 0.291 0.212
O2 O 0.295 0.500 0.699
O3 O 0.335 0.000 0.658
# * formation energy (no corrections): -1.96 eV/atom
# * V: 137.4 Å³/f.u.

# ScAgHg4 | the Alexandria database | PBE-GGA | optimized geometry
data_ScAgHg4
_chemical_formula_sum 'Sc2 Ag2 Hg8'
_cell_length_a 9.795
_cell_length_b 3.359
_cell_length_c 9.499
_cell_angle_alpha 90.00
_cell_angle_beta 119.89
_cell_angle_gamma 90.00
_symmetry_space_group_name_H-M 'C 1 2/m 1'
_symmetry_Int_Tables_number 12
loop_
_symmetry_equiv_pos_as_xyz
'x,y,z'
'-x,-y,-z'
'-x,y,-z'
'x,-y,z'
'x+1/2,y+1/2,z'
'-x+1/2,-y+1/2,-z'
'-x+1/2,y+1/2,-z'
'x+1/2,-y+1/2,z'
loop_
_atom_site_label
_atom_site_type_symbol
_atom_site_fract_x
_atom_site_fract_y
_atom_site_fract_z
Sc1 Sc 0.000 0.000 0.000
Ag1 Ag 0.000 0.500 0.500
Hg1 Hg 0.143 0.500 0.844
Hg2 Hg 0.205 0.500 0.331
# * calculated formation energy: -0.050 eV/atom
# * V: 135.5 Å³/f.u.
# * offset from the most stable computed form: 0.018 eV/atom

> Which value of V does entry 3 give?

70.3 Å³/f.u.

> Among the records above, which one has the lowest V?

CuOsW2